# 1
Sm4Th3ScS8 after structural relaxation, computed with GGA-PBE.

Summary:
Energy relative to the elements, uncorrected   -2946 kJ/mol of formula units

Cell: 7.9596 7.9596 19.6484 Å, 90.00 90.00 120.00°
Closest atoms and distances in Å follow each position.
Space group R-3m (No. 166, hexagonal axes)
Unique sites:
Sm 0.0000 0.0000 0.0000  6 S 2.92
Sm 0.0000 0.5000 0.0000  6 S 2.80-2.81
Th 0.0000 0.5000 0.5000  6 S 2.84
Sc 0.0000 0.0000 0.5000  6 S 2.73
S 0.0000 0.0000 0.2520  3 Sm 2.80, 3 Th 2.84
S 0.0131 0.5066 0.2482  1 Sc 2.73, 3 Sm 2.81-2.92, 2 Th 2.84

# 2
TbCeTcAu after structural relaxation, computed with GGA-PBE.

Summary:
Energy of formation   -114 kJ/mol of formula units

Cell: 7.0917 7.0917 7.0917 Å, 90.00 90.00 90.00°
Closest atoms and distances in Å follow each position.
Space group F-43m (No. 216)
Unique sites:
Tb 0.0000 0.0000 0.0000  4 Tc 3.07, 4 Au 3.07
Ce 0.0000 0.0000 0.5000  4 Tc 3.07, 4 Au 3.07
Tc 0.2500 0.2500 0.2500  4 Tb 3.07, 4 Ce 3.07
Au 0.2500 0.2500 0.7500  4 Tb 3.07, 4 Ce 3.07

# 3
Pr8CoPt3Cl4 after structural relaxation, computed with GGA-PBE.

Summary:
Energy relative to the elements, uncorrected   -1860 kJ/mol of formula units

Cell: 14.4971 8.3726 8.9341 Å, 90.00 122.80 90.00°
Closest atoms and distances in Å follow each position.
Space group C2/m (No. 12)
Unique sites:
Pr 0.0115 0.2398 0.2951  1 Co 2.78, 2 Pt 2.91
Pr 0.2283 0.0000 0.7049  1 Co 2.78, 2 Pt 2.91
Pr 0.2366 0.5000 0.7093  3 Pt 2.88
Co 0.0000 0.0000 0.5000  6 Pr 2.78
Pt 0.0000 0.5000 0.5000  6 Pr 2.88-2.91
Pt 0.2500 0.2500 0.5000  6 Pr 2.88-2.91
Cl 0.0000 0.0000 0.0000  6 Pr 3.25
Cl 0.0000 0.5000 0.0000  6 Pr 3.35
Cl 0.2500 0.2500 0.0000  6 Pr 3.24-3.26

# 4
ZrCo2 after structural relaxation, computed with GGA-PBE.

Summary:
Energy of formation   -42 kJ/mol of formula units

Cell: 8.0735 4.0753 5.2587 Å, 90.00 101.16 90.00°
Closest atoms and distances in Å follow each position.
Space group C2/m (No. 12)
Unique sites:
Zr 0.1453 0.0000 0.2980  10 Co 2.56-2.85
Co 0.0000 0.5000 0.0000  8 Co 2.56-2.77, 4 Zr 2.70
Co 0.0000 0.5000 0.5000  6 Co 2.63-2.87, 6 Zr 2.67-2.85
Co 0.1815 0.0000 0.8244  5 Co 2.56-2.83, 5 Zr 2.56-2.73